Here is GaCu4Au2 after structural relaxation from the Alexandria database. Energies are from GGA-PBE.

Calculated values
E_form (kJ/mol of atoms): 10.0
Polymorph energy (0 for the lowest one) (meV per atom): 129
Space group: Fmmm (69)

a = 6.245 Å, b = 6.245 Å, c = 5.238 Å
α = 126.62°, β = 126.64°, γ = 89.95°
Atoms (fractional coordinates):
Cu (0.296, 0.704, 0.999)
Ga (0.000, 0.000, 0.000)
Au (0.250, 0.750, 0.500)
Cu (0.704, 0.296, 0.001)
Au (0.750, 0.250, 0.500)
Cu (0.294, 0.294, 0.000)
Cu (0.706, 0.706, 0.000)



Here is TaAl3 after structural relaxation from the Alexandria database. Energies are from GGA-PBE.

Calculated values
E_form (kJ/mol of atoms): -9.4
Space group: P4/mmm (123)

a = 2.805 Å, b = 2.805 Å, c = 8.510 Å
α = 90.00°, β = 90.00°, γ = 90.01°
Atoms (fractional coordinates):
Al (0.500, 0.500, 0.750)
Ta (0.500, 0.500, 0.250)
Al (0.000, 0.000, 0.002)
Al (0.000, 0.000, 0.498)



Here is NaErTe2Au after structural relaxation from the Alexandria database. Energies are from GGA-PBE.

Calculated values
Space group: P2/c (13)

a = 4.798 Å, b = 7.794 Å, c = 8.037 Å
α = 96.36°, β = 90.00°, γ = 90.00°
Atoms (fractional coordinates):
Er (0.502, 0.000, 0.750)
Na (0.888, 0.500, 0.250)
Te (0.348, 0.716, 0.473)
Au (0.000, 0.000, 0.500)
Na (0.112, 0.500, 0.750)
Te (0.652, 0.716, 0.973)
Te (0.652, 0.284, 0.527)
Au (0.000, 0.000, 0.000)
Te (0.348, 0.284, 0.027)
Er (0.498, 0.000, 0.250)



Here is UGe2Rh after structural relaxation from the Alexandria database. Energies are from GGA-PBE.

Calculated values
E_form (kJ/mol of atoms): -39.9
Space group: R-3m (166)

a = 4.163 Å, b = 4.163 Å, c = 5.557 Å
α = 68.00°, β = 68.00°, γ = 60.00°
Atoms (fractional coordinates):
Ge (0.276, 0.276, 0.171)
Rh (0.000, 0.000, 0.000)
Ge (0.724, 0.724, 0.829)
U (0.500, 0.500, 0.500)



Here is Si2HgBO after structural relaxation from the Alexandria database. Energies are from GGA-PBE.

Calculated values
Space group: P4/mmm (123)

a = 3.934 Å, b = 5.491 Å, c = 3.934 Å
α = 90.00°, β = 90.00°, γ = 90.00°
Atoms (fractional coordinates):
Si (0.500, 0.000, 0.000)
Si (0.000, 0.000, 0.500)
B (0.500, 0.500, 0.500)
O (0.000, 0.000, 0.000)
Hg (0.000, 0.500, 0.000)



Here is Ag2WBr after structural relaxation from the Alexandria database. Energies are from GGA-PBE.

Calculated values
Polymorph energy (0 for the lowest one) (meV per atom): 425
Space group: Cmmm (65)

a = 6.097 Å, b = 5.534 Å, c = 2.888 Å
α = 89.98°, β = 61.78°, γ = 115.31°
Atoms (fractional coordinates):
Ag (0.000, 0.000, 0.000)
Ag (0.500, 0.000, 0.500)
W (0.500, 0.500, 0.000)
Br (0.000, 0.500, 0.500)



Here is Re4PbS7 after structural relaxation from the Alexandria database. Energies are from GGA-PBE.

Calculated values
Space group: Pmn2_1 (31)

a = 6.623 Å, b = 5.119 Å, c = 15.994 Å
α = 90.00°, β = 90.00°, γ = 90.00°
Atoms (fractional coordinates):
Pb (0.728, 0.152, 0.500)
S (0.945, 0.679, 0.160)
S (0.654, 0.818, 0.000)
Re (0.574, 0.211, 0.212)
S (0.886, 0.661, 0.402)
S (0.386, 0.339, 0.098)
Re (0.574, 0.211, 0.788)
Re (0.074, 0.789, 0.712)
Pb (0.228, 0.848, 0.000)
Re (0.105, 0.315, 0.636)
S (0.876, 0.156, 0.728)
S (0.376, 0.844, 0.772)
S (0.154, 0.182, 0.500)
Re (0.105, 0.315, 0.364)
S (0.386, 0.339, 0.902)
S (0.886, 0.661, 0.598)
Re (0.074, 0.789, 0.288)
Re (0.605, 0.685, 0.864)
S (0.876, 0.156, 0.272)
S (0.445, 0.321, 0.660)
Re (0.605, 0.685, 0.136)
S (0.945, 0.679, 0.840)
S (0.445, 0.321, 0.340)
S (0.376, 0.844, 0.228)



Here is H3Rh after structural relaxation from the Alexandria database. Energies are from GGA-PBE.

Calculated values
Polymorph energy (0 for the lowest one) (meV per atom): 82
Space group: P4mm (99)

a = 2.809 Å, b = 2.809 Å, c = 3.097 Å
α = 90.00°, β = 90.00°, γ = 90.00°
Atoms (fractional coordinates):
H (0.500, 0.000, 0.365)
Rh (0.000, 0.000, 0.018)
H (0.500, 0.500, 0.919)
H (0.000, 0.500, 0.365)



Here is Sm7Y4Mg after structural relaxation from the Alexandria database. Energies are from GGA-PBE.

Calculated values
E_form (kJ/mol of atoms): 1.8
Polymorph energy (0 for the lowest one) (meV per atom): 0
Space group: P-3m1 (164)

a = 3.601 Å, b = 3.601 Å, c = 34.852 Å
α = 90.00°, β = 90.00°, γ = 120.00°
Atoms (fractional coordinates):
Sm (0.000, 0.000, 0.000)
Y (0.667, 0.333, 0.084)
Sm (0.333, 0.667, 0.421)
Y (0.333, 0.667, 0.916)
Y (0.667, 0.333, 0.338)
Y (0.333, 0.667, 0.662)
Sm (0.333, 0.667, 0.168)
Sm (0.667, 0.333, 0.579)
Sm (0.667, 0.333, 0.832)
Sm (0.000, 0.000, 0.253)
Mg (0.000, 0.000, 0.500)
Sm (0.000, 0.000, 0.747)



Here is Tb2ErMg after structural relaxation from the Alexandria database. Energies are from GGA-PBE.

Calculated values
E_form (kJ/mol of atoms): 3.9
Polymorph energy (0 for the lowest one) (meV per atom): 66
Space group: R3m (160)

a = 3.490 Å, b = 3.490 Å, c = 11.530 Å
α = 81.29°, β = 81.29°, γ = 59.93°
Atoms (fractional coordinates):
Mg (0.500, 0.500, 0.500)
Er (0.667, 0.667, 0.000)
Tb (0.084, 0.084, 0.748)
Tb (0.249, 0.249, 0.252)



Here is Y2NbInN after structural relaxation from the Alexandria database. Energies are from GGA-PBE.

Calculated values
Space group: P4/mmm (123)

a = 4.906 Å, b = 4.906 Å, c = 4.238 Å
α = 90.00°, β = 90.00°, γ = 90.00°
Atoms (fractional coordinates):
Y (0.000, 0.500, 0.000)
N (0.000, 0.000, 0.000)
In (0.500, 0.500, 0.500)
Y (0.500, 0.000, 0.000)
Nb (0.000, 0.000, 0.500)



no.,E (eV per atom)
1,-3.6059
2,-5.8678
3,-3.8859
4,-7.3822
5,-3.5917
6,-4.2051
7,-6.8316
8,-4.1993
9,-5.0218
10,-3.8142
11,-7.5908